[1]
First-principles (GGA-PBE) data for a relaxed structure of LaMgInBi3, as listed in the Alexandria database.

```
LaMgInBi3
1.0
4.7676 0.0000 0.0000
0.0000 6.9847 0.0415
0.0000 -1.9123 11.4205
La Mg In Bi
2 2 2 6
Direct
0.2500 0.2105 0.3036 La
0.7500 0.7895 0.6964 La
0.2500 0.6555 0.0965 Mg
0.7500 0.3445 0.9035 Mg
0.2500 0.1360 0.6231 In
0.7500 0.8640 0.3769 In
0.7500 0.9430 0.1289 Bi
0.2500 0.0570 0.8711 Bi
0.2500 0.6796 0.4723 Bi
0.7500 0.3204 0.5277 Bi
0.7500 0.4315 0.1666 Bi
0.2500 0.5685 0.8334 Bi
```

Computed properties:
The value obtained for the formation energy is -0.375 eV per atom. The value obtained for the total energy is -3.859 eV/atom. As for the total magnetic moment: 0.0 μB per cell.

***

[2]
First-principles (GGA-PBE) data for a relaxed structure of Na2LaInBi2, as listed in the Alexandria database.

```
Na2LaInBi2
1.0
-2.7574 -3.2010 -1.7132
-0.4780 -3.9317 8.1153
-7.6310 5.4109 2.1720
Na La In Bi
4 2 2 4
Direct
0.5000 0.0702 0.0763 Na
0.0000 0.3721 0.1874 Na
0.5000 0.5702 0.9237 Na
0.0000 0.8721 0.8126 Na
0.0000 0.9518 0.4363 La
0.0000 0.4518 0.5637 La
0.5000 0.1211 0.7288 In
0.5000 0.6211 0.2712 In
0.0000 0.3030 0.8668 Bi
0.5000 0.2275 0.4193 Bi
0.0000 0.8030 0.1332 Bi
0.5000 0.7275 0.5807 Bi
```

Computed properties:
The value obtained for the formation energy is -0.456 eV per atom. The value obtained for the total energy is -3.467 eV/atom. As for the total magnetic moment: 0.0 μB per cell.

***

[3]
First-principles (GGA-PBE) data for a relaxed structure of LaIn2NiBi, as listed in the Alexandria database.

```
LaIn2NiBi
1.0
-2.2565 -0.0430 4.4882
4.0839 -2.1037 2.0331
1.9535 4.7858 1.0280
Ni In Bi La
1 2 1 1
Direct
0.0000 0.0000 0.0000 Ni
0.0000 0.5000 0.0000 In
0.5000 0.0000 0.0000 In
0.5000 0.5000 0.5000 Bi
0.0000 0.0000 0.5000 La
```

Computed properties:
The value obtained for the formation energy is -0.449 eV per atom. The value obtained for the total energy is -4.462 eV/atom. As for the total magnetic moment: 0.0 μB per cell.

***

Look up the total magnetic moment of the first one. 0.0 μB per cell